PBE-GGA HfNpN2, optimized geometry; formation energy from raw total energies = -1.311 eV per atom; V = 158.2 Å³/cell; raw total energy = -11.20 eV/atom
1.0
3.212 0.000 0.000
-1.606 2.782 0.000
0.000 0.000 17.701
Hf Np N
3 3 6
direct
0.000 0.000 0.000
0.333 0.667 0.667
0.667 0.333 0.333
0.000 0.000 0.173
0.333 0.667 0.840
0.667 0.333 0.507
0.000 0.000 0.409
0.000 0.000 0.598
0.333 0.667 0.075
0.333 0.667 0.264
0.667 0.333 0.742
0.667 0.333 0.931

***

PBE-GGA HfNp3Pa2N6, optimized geometry; formation energy from raw total energies = -1.396 eV per atom; V = 171.1 Å³/cell; raw total energy = -11.21 eV/atom
1.0
2.973 -5.148 0.000
2.973 5.148 0.000
-1.983 0.000 5.588
Hf Np Pa N
1 3 2 6
direct
0.000 0.000 0.000
0.167 0.833 0.500
0.500 0.500 0.500
0.833 0.167 0.500
0.334 0.666 0.000
0.666 0.334 0.000
0.079 0.396 0.237
0.237 0.237 0.760
0.396 0.079 0.237
0.604 0.921 0.763
0.763 0.763 0.240
0.921 0.604 0.763

***

PBE-GGA HfNp2PaN4, optimized geometry; formation energy from raw total energies = -1.414 eV per atom; V = 111.3 Å³/cell; raw total energy = -11.24 eV/atom
1.0
5.897 0.000 0.000
0.000 3.363 0.000
-1.895 0.000 5.613
Hf Np Pa N
1 2 1 4
direct
0.000 0.000 0.000
0.500 0.000 0.500
0.500 0.500 0.000
0.000 0.500 0.500
0.230 0.500 0.228
0.239 0.000 0.766
0.761 0.000 0.234
0.770 0.500 0.772

***

PBE-GGA HfNpPa2N6, optimized geometry; formation energy from raw total energies = -1.429 eV per atom; V = 145.1 Å³/cell; raw total energy = -10.61 eV/atom
1.0
2.928 1.690 4.888
-2.928 1.690 4.888
0.000 -3.381 4.888
Hf Np Pa N
1 1 2 6
direct
0.000 0.000 0.000
0.504 0.504 0.504
0.281 0.281 0.281
0.780 0.780 0.780
0.109 0.368 0.695
0.178 0.885 0.611
0.368 0.695 0.109
0.611 0.178 0.885
0.695 0.109 0.368
0.885 0.611 0.178

***

PBE-GGA HfNpPa2N4, optimized geometry; formation energy from raw total energies = -1.533 eV per atom; V = 112.4 Å³/cell; raw total energy = -10.93 eV/atom
1.0
5.903 0.000 0.000
0.000 3.392 0.000
-1.919 0.000 5.613
Hf Np Pa N
1 1 2 4
direct
0.000 0.000 0.000
0.500 0.500 0.000
0.000 0.500 0.500
0.500 0.000 0.500
0.230 0.500 0.229
0.239 0.000 0.764
0.761 0.000 0.236
0.770 0.500 0.771

***

PBE-GGA Pm2HfNpN4, optimized geometry; formation energy from raw total energies = -1.473 eV per atom; V = 116.0 Å³/cell; raw total energy = -9.69 eV/atom
1.0
5.919 0.000 0.000
0.000 3.426 0.000
-1.927 0.000 5.720
Pm Hf Np N
2 1 1 4
direct
0.000 0.000 0.000
0.500 0.500 0.000
0.000 0.500 0.500
0.500 0.000 0.500
0.233 0.000 0.711
0.252 0.500 0.285
0.748 0.500 0.715
0.767 0.000 0.289

***

Q: Which formula does entry 6 have?
A: Pm2HfNpN4